# 1
DFT (PBE+U) results for a geometry-optimized TlV2HgF structure.

Lattice parameters (Å, degrees): 5.3613 5.7515 5.3613 90.00 90.00 90.00
Positions (direct):
1 V 0.5000 0.0000 0.0000
2 F 0.5000 0.5000 0.5000
3 V 0.0000 0.0000 0.5000
4 Tl 0.0000 0.5000 0.0000
5 Hg 0.0000 0.0000 0.0000

The magnetic moment is 7.3 μB/cell. As for the total energy: -3.031 eV/atom.



# 2
DFT (PBE+U) results for a geometry-optimized TlVHg2F8 structure.

Lattice parameters (Å, degrees): 5.4070 6.2078 7.7386 82.10 84.38 87.99
Positions (direct):
1 F 0.9813 0.2236 0.1340
2 Tl 0.0000 0.0000 0.5000
3 V 0.0000 0.0000 0.0000
4 F 0.3924 0.2639 0.4173
5 F 0.1414 0.8257 0.1748
6 F 0.6076 0.7361 0.5827
7 F 0.3019 0.0866 0.9007
8 Hg 0.5407 0.5838 0.8391
9 F 0.0187 0.7764 0.8660
10 Hg 0.4593 0.4162 0.1609
11 F 0.6981 0.9134 0.0993
12 F 0.8586 0.1743 0.8252

The magnetic moment is 0.0 μB/cell. As for the total energy: -4.087 eV/atom.



# 3
DFT (PBE+U) results for a geometry-optimized TlHgW2F structure.

Lattice parameters (Å, degrees): 4.6973 5.6956 4.6973 90.00 90.00 90.00
Positions (direct):
1 W 0.0000 0.0000 0.5000
2 Hg 0.0000 0.5000 0.0000
3 Tl 0.5000 0.5000 0.5000
4 F 0.0000 0.0000 0.0000
5 W 0.5000 0.0000 0.0000

The magnetic moment is 7.8 μB/cell. As for the total energy: -3.123 eV/atom.



# 4
DFT (PBE+U) results for a geometry-optimized TlHgWF6 structure.

Lattice parameters (Å, degrees): 7.6484 7.6484 8.0193 90.00 90.00 120.00
Positions (direct):
1 F 0.5396 0.6577 0.6152
2 F 0.1181 0.4604 0.6152
3 Tl 0.3333 0.6667 0.2500
4 F 0.6577 0.1181 0.3848
5 F 0.8819 0.3423 0.1152
6 F 0.3423 0.8819 0.6152
7 F 0.6577 0.5396 0.1152
8 F 0.4604 0.1181 0.1152
9 F 0.3423 0.4604 0.8848
10 F 0.5396 0.8819 0.8848
11 F 0.1181 0.6577 0.8848
12 W 0.6667 0.3333 0.2500
13 W 0.3333 0.6667 0.7500
14 Hg 0.0000 0.0000 0.5000
15 Hg 0.0000 0.0000 0.0000
16 Tl 0.6667 0.3333 0.7500
17 F 0.8819 0.5396 0.3848
18 F 0.4604 0.3423 0.3848

The magnetic moment is 2.0 μB/cell. As for the total energy: -4.561 eV/atom.



Q: Which of these has the lowest magnetic moment?
A: TlVHg2F8



Q: Which of these has the highest magnetic moment?
A: TlHgW2F



Q: The lowest magnetic moment belongs to which entry?
A: TlVHg2F8



Q: What is the magnetic moment in the second record?
A: 0.0 μB/cell